# 1
# RbYAu2 (PBE, relaxed)
# Distance to the lowest polymorph of the same formula = 0.349 eV/atom
data_RbYAu2
_chemical_formula_sum 'Rb4 Y4 Au8'
_cell_length_a 7.5267
_cell_length_b 7.5267
_cell_length_c 7.5267
_cell_angle_alpha 90.00
_cell_angle_beta 90.00
_cell_angle_gamma 90.00
_symmetry_space_group_name_H-M 'P 1'
_symmetry_Int_Tables_number 1
loop_
_symmetry_equiv_pos_as_xyz
'x,y,z'
loop_
_atom_site_label
_atom_site_type_symbol
_atom_site_fract_x
_atom_site_fract_y
_atom_site_fract_z
Rb1 Rb 0.0000 0.0000 0.0000
Rb2 Rb 0.0000 0.5000 0.5000
Rb3 Rb 0.5000 0.0000 0.5000
Rb4 Rb 0.5000 0.5000 0.0000
Y1 Y 0.0000 0.0000 0.5000
Y2 Y 0.0000 0.5000 0.0000
Y3 Y 0.5000 0.0000 0.0000
Y4 Y 0.5000 0.5000 0.5000
Au1 Au 0.2500 0.2500 0.2500
Au2 Au 0.2500 0.2500 0.7500
Au3 Au 0.2500 0.7500 0.2500
Au4 Au 0.2500 0.7500 0.7500
Au5 Au 0.7500 0.2500 0.2500
Au6 Au 0.7500 0.2500 0.7500
Au7 Au 0.7500 0.7500 0.2500
Au8 Au 0.7500 0.7500 0.7500

# 2
# Li5SnO4 (PBE, relaxed)
# Energy relative to the elements, uncorrected = -1.659 eV per atom
data_Li5SnO4
_chemical_formula_sum 'Li10 Sn2 O8'
_cell_length_a 6.3801
_cell_length_b 7.5037
_cell_length_c 4.7780
_cell_angle_alpha 90.00
_cell_angle_beta 90.00
_cell_angle_gamma 90.00
_symmetry_space_group_name_H-M 'P 1'
_symmetry_Int_Tables_number 1
loop_
_symmetry_equiv_pos_as_xyz
'x,y,z'
loop_
_atom_site_label
_atom_site_type_symbol
_atom_site_fract_x
_atom_site_fract_y
_atom_site_fract_z
Li1 Li 0.0052 0.0684 0.2416
Li2 Li 0.0052 0.4316 0.2416
Li3 Li 0.2500 0.7500 0.2356
Li4 Li 0.4948 0.0684 0.2416
Li5 Li 0.4948 0.4316 0.2416
Li6 Li 0.5052 0.5684 0.7584
Li7 Li 0.5052 0.9316 0.7584
Li8 Li 0.7500 0.2500 0.7644
Li9 Li 0.9948 0.5684 0.7584
Li10 Li 0.9948 0.9316 0.7584
Sn1 Sn 0.2500 0.2500 0.8031
Sn2 Sn 0.7500 0.7500 0.1969
O1 O 0.0054 0.2500 0.5313
O2 O 0.2500 0.5135 0.9883
O3 O 0.2500 0.9865 0.9883
O4 O 0.4946 0.2500 0.5313
O5 O 0.5054 0.7500 0.4687
O6 O 0.7500 0.0135 0.0117
O7 O 0.7500 0.4865 0.0117
O8 O 0.9946 0.7500 0.4687

# 3
Cd2BiBAs | PBE | relaxed

Structure (CIF):
```
data_Cd2BiBAs
_chemical_formula_sum 'Cd2 Bi1 B1 As1'
_cell_length_a 5.5899
_cell_length_b 5.5899
_cell_length_c 3.9477
_cell_angle_alpha 90.00
_cell_angle_beta 90.00
_cell_angle_gamma 90.00
_symmetry_space_group_name_H-M 'P 1'
_symmetry_Int_Tables_number 1
loop_
_symmetry_equiv_pos_as_xyz
'x,y,z'
loop_
_atom_site_label
_atom_site_type_symbol
_atom_site_fract_x
_atom_site_fract_y
_atom_site_fract_z
Cd1 Cd 0.0000 0.5000 0.0000
Cd2 Cd 0.5000 0.0000 0.0000
Bi1 Bi 0.0000 0.0000 0.5000
B1 B 0.5000 0.5000 0.5000
As1 As 0.5000 0.5000 0.0000
```

no.,VASP energy (eV/atom),V (Å³/atom)
1,-3.70,26.65
2,-5.00,11.44
3,-2.66,24.67